Arrangement 1

{
  "formula": "NaAlGaAu",
  "functional": "PBE",
  "state": "relaxed",
  "lattice_angstrom": [[0.000, 3.345, 3.345], [3.345, 0.000, 3.345], [3.345, 3.345, 0.000]],
  "species": ["Na", "Ga", "Al", "Au"],
  "fractional_positions": [[0.500, 0.500, 0.500], [0.000, 0.000, 0.000], [0.250, 0.250, 0.250], [0.750, 0.750, 0.750]]
}

=====

Arrangement 2

{
  "formula": "NaAlGaAu",
  "functional": "PBE",
  "state": "relaxed",
  "lattice_angstrom": [[0.000, 3.297, 3.297], [3.297, 0.000, 3.297], [3.297, 3.297, 0.000]],
  "species": ["Al", "Au", "Ga", "Na"],
  "fractional_positions": [[0.500, 0.500, 0.500], [0.750, 0.750, 0.750], [0.000, 0.000, 0.000], [0.250, 0.250, 0.250]]
}

=====

Arrangement 3

{
  "formula": "NaAlGaAu",
  "functional": "PBE",
  "state": "relaxed",
  "lattice_angstrom": [[-1.862, 1.637, 3.999], [-2.680, 3.866, -0.063], [-4.633, -0.337, 0.749]],
  "species": ["Ga", "Al", "Au", "Na"],
  "fractional_positions": [[0.250, 0.250, 0.250], [0.000, 0.000, 0.000], [0.750, 0.750, 0.750], [0.500, 0.500, 0.500]]
}

=====

It comes down to arrangement 3, which is 28 meV per atom more stable than the next structure.

=====

Arrangement 1

{
  "formula": "NdAlGaPdAu",
  "functional": "PBE",
  "state": "relaxed",
  "total_magnetization_mub_per_cell": 0.0,
  "lattice_angstrom": [[-0.263, -1.273, -4.256], [-0.636, -4.208, 1.298], [-10.047, 1.566, 0.153]],
  "species": ["Au", "Al", "Al", "Au", "Pd", "Ga", "Ga", "Pd", "Nd", "Nd"],
  "fractional_positions": [[0.500, 0.500, 0.000], [0.500, 0.000, 0.864], [0.000, 0.500, 0.136], [0.000, 0.000, 0.000], [0.000, 0.500, 0.375], [0.500, 0.500, 0.500], [0.000, 0.000, 0.500], [0.500, 0.000, 0.625], [0.000, 0.500, 0.742], [0.500, 0.000, 0.258]]
}

=====

Arrangement 2

{
  "formula": "NdAlGaPdAu",
  "functional": "PBE",
  "state": "relaxed",
  "total_magnetization_mub_per_cell": 0.0,
  "lattice_angstrom": [[4.348, 0.000, 0.000], [0.000, 4.348, 0.000], [0.000, 0.000, 10.599]],
  "species": ["Al", "Ga", "Al", "Au", "Pd", "Nd", "Nd", "Pd", "Ga", "Au"],
  "fractional_positions": [[0.500, 0.500, 0.500], [0.500, 0.000, 0.124], [0.000, 0.000, 0.500], [0.000, 0.500, 0.634], [0.000, 0.000, 0.000], [0.500, 0.000, 0.755], [0.000, 0.500, 0.245], [0.500, 0.500, 0.000], [0.000, 0.500, 0.876], [0.500, 0.000, 0.366]]
}

=====

It comes down to arrangement 2, which is 20 meV per atom more stable than the next structure.

=====

Arrangement 1

{
  "formula": "NdAlGaPdAu",
  "functional": "PBE",
  "state": "relaxed",
  "total_magnetization_mub_per_cell": 0.0,
  "lattice_angstrom": [[4.382, 0.000, 0.000], [0.000, 4.382, 0.000], [0.000, 0.000, 10.479]],
  "species": ["Nd", "Ga", "Al", "Ga", "Pd", "Pd", "Au", "Au", "Al", "Nd"],
  "fractional_positions": [[0.000, 0.500, 0.251], [0.000, 0.500, 0.857], [0.500, 0.500, 0.500], [0.500, 0.000, 0.143], [0.500, 0.000, 0.377], [0.000, 0.500, 0.623], [0.000, 0.000, 0.000], [0.500, 0.500, 0.000], [0.000, 0.000, 0.500], [0.500, 0.000, 0.749]]
}

=====

Arrangement 2

{
  "formula": "NdAlGaPdAu",
  "functional": "PBE",
  "state": "relaxed",
  "total_magnetization_mub_per_cell": 0.0,
  "lattice_angstrom": [[4.397, 0.000, 0.000], [0.000, 4.397, 0.000], [0.000, 0.000, 10.408]],
  "species": ["Nd", "Al", "Pd", "Pd", "Al", "Ga", "Au", "Au", "Ga", "Nd"],
  "fractional_positions": [[0.000, 0.500, 0.750], [0.000, 0.500, 0.116], [0.500, 0.500, 0.000], [0.000, 0.000, 0.000], [0.500, 0.000, 0.884], [0.000, 0.000, 0.500], [0.500, 0.000, 0.641], [0.000, 0.500, 0.359], [0.500, 0.500, 0.500], [0.500, 0.000, 0.250]]
}

=====

It comes down to arrangement 2, which is 12 meV per atom more stable than the next structure.

=====

Arrangement 1

{
  "formula": "SrAlGaPdAu",
  "functional": "PBE",
  "state": "relaxed",
  "lattice_angstrom": [[4.495, 0.000, 0.000], [0.000, 4.495, 0.000], [0.000, 0.000, 10.509]],
  "species": ["Au", "Ga", "Au", "Pd", "Al", "Ga", "Sr", "Sr", "Al", "Pd"],
  "fractional_positions": [[0.500, 0.500, 0.000], [0.500, 0.000, 0.136], [0.000, 0.000, 0.000], [0.500, 0.000, 0.380], [0.500, 0.500, 0.500], [0.000, 0.500, 0.864], [0.000, 0.500, 0.247], [0.500, 0.000, 0.753], [0.000, 0.000, 0.500], [0.000, 0.500, 0.620]]
}

=====

Arrangement 2

{
  "formula": "SrAlGaPdAu",
  "functional": "PBE",
  "state": "relaxed",
  "lattice_angstrom": [[4.474, 0.000, 0.000], [0.000, 4.474, 0.000], [0.000, 0.000, 10.558]],
  "species": ["Sr", "Ga", "Au", "Al", "Ga", "Au", "Sr", "Pd", "Pd", "Al"],
  "fractional_positions": [[0.500, 0.000, 0.759], [0.000, 0.500, 0.885], [0.000, 0.500, 0.632], [0.000, 0.000, 0.500], [0.500, 0.000, 0.115], [0.500, 0.000, 0.368], [0.000, 0.500, 0.241], [0.000, 0.000, 0.000], [0.500, 0.500, 0.000], [0.500, 0.500, 0.500]]
}

=====

It comes down to arrangement 2, which is 32 meV per atom more stable than the next structure.

=====

Arrangement 1

{
  "formula": "RbAlGaAu",
  "functional": "PBE",
  "state": "relaxed",
  "lattice_angstrom": [[-3.401, 1.982, 3.204], [-4.627, 1.252, -1.667], [-4.035, -2.729, 1.425]],
  "species": ["Au", "Rb", "Ga", "Al"],
  "fractional_positions": [[0.750, 0.750, 0.750], [0.250, 0.250, 0.250], [0.000, 0.000, 0.000], [0.500, 0.500, 0.500]]
}

=====

Arrangement 2

{
  "formula": "RbAlGaAu",
  "functional": "PBE",
  "state": "relaxed",
  "lattice_angstrom": [[2.446, -4.006, 2.199], [-2.684, -3.490, 2.735], [-0.676, -4.789, -1.864]],
  "species": ["Au", "Al", "Ga", "Rb"],
  "fractional_positions": [[0.750, 0.750, 0.750], [0.000, 0.000, 0.000], [0.250, 0.250, 0.250], [0.500, 0.500, 0.500]]
}

=====

It comes down to arrangement 2, which is 20 meV per atom more stable than the next structure.

=====

Arrangement 1

{
  "formula": "SmAlGaAu2",
  "functional": "PBE",
  "state": "relaxed",
  "total_magnetization_mub_per_cell": 0.0,
  "lattice_angstrom": [[-4.272, 1.089, -0.153], [-0.797, -3.488, -2.580], [-1.802, -5.877, 8.502]],
  "species": ["Au", "Sm", "Au", "Au", "Al", "Sm", "Au", "Ga", "Al", "Ga"],
  "fractional_positions": [[0.000, 0.000, 0.000], [0.500, 0.000, 0.252], [0.500, 0.500, 0.000], [0.500, 0.000, 0.636], [0.500, 0.000, 0.871], [0.000, 0.500, 0.748], [0.000, 0.500, 0.364], [0.500, 0.500, 0.500], [0.000, 0.500, 0.129], [0.000, 0.000, 0.500]]
}

=====

Arrangement 2

{
  "formula": "SmAlGaAu2",
  "functional": "PBE",
  "state": "relaxed",
  "total_magnetization_mub_per_cell": 0.0,
  "lattice_angstrom": [[4.378, 0.000, 0.000], [0.000, 4.378, 0.000], [0.000, 0.000, 10.648]],
  "species": ["Au", "Al", "Au", "Au", "Al", "Sm", "Ga", "Au", "Sm", "Ga"],
  "fractional_positions": [[0.000, 0.500, 0.372], [0.000, 0.000, 0.500], [0.000, 0.000, 0.000], [0.500, 0.000, 0.628], [0.500, 0.500, 0.500], [0.500, 0.000, 0.247], [0.500, 0.000, 0.864], [0.500, 0.500, 0.000], [0.000, 0.500, 0.753], [0.000, 0.500, 0.136]]
}

=====

It comes down to arrangement 2, which is 6 meV per atom more stable than the next structure.

=====

Arrangement 1

{
  "formula": "TbAlGaAu2",
  "functional": "PBE",
  "state": "relaxed",
  "total_magnetization_mub_per_cell": 0.0,
  "lattice_angstrom": [[4.308, 0.000, 0.000], [0.000, 4.308, 0.000], [0.000, 0.000, 10.788]],
  "species": ["Au", "Al", "Al", "Au", "Au", "Ga", "Tb", "Tb", "Ga", "Au"],
  "fractional_positions": [[0.500, 0.500, 0.000], [0.000, 0.000, 0.500], [0.500, 0.500, 0.500], [0.000, 0.000, 0.000], [0.000, 0.500, 0.632], [0.500, 0.000, 0.138], [0.000, 0.500, 0.245], [0.500, 0.000, 0.755], [0.000, 0.500, 0.862], [0.500, 0.000, 0.368]]
}

=====

Arrangement 2

{
  "formula": "TbAlGaAu2",
  "functional": "PBE",
  "state": "relaxed",
  "total_magnetization_mub_per_cell": 0.0,
  "lattice_angstrom": [[-1.878, -0.251, -3.930], [0.575, -4.325, 0.002], [-9.409, -1.249, 4.575]],
  "species": ["Ga", "Au", "Al", "Au", "Tb", "Au", "Au", "Tb", "Al", "Ga"],
  "fractional_positions": [[0.500, 0.500, 0.500], [0.500, 0.500, 0.000], [0.000, 0.500, 0.129], [0.000, 0.000, 0.000], [0.000, 0.500, 0.749], [0.500, 0.000, 0.638], [0.000, 0.500, 0.362], [0.500, 0.000, 0.251], [0.500, 0.000, 0.871], [0.000, 0.000, 0.500]]
}

=====

It comes down to arrangement 1, which is 7 meV per atom more stable than the next structure.

=====

Arrangement 1

{
  "formula": "YAlGaAu2",
  "functional": "PBE",
  "state": "relaxed",
  "total_magnetization_mub_per_cell": 0.0,
  "lattice_angstrom": [[4.293, 0.000, 0.000], [0.000, 4.293, 0.000], [0.000, 0.000, 10.830]],
  "species": ["Au", "Al", "Ga", "Ga", "Al", "Y", "Au", "Au", "Y", "Au"],
  "fractional_positions": [[0.000, 0.500, 0.632], [0.500, 0.500, 0.500], [0.500, 0.000, 0.138], [0.000, 0.500, 0.862], [0.000, 0.000, 0.500], [0.000, 0.500, 0.246], [0.500, 0.500, 0.000], [0.000, 0.000, 0.000], [0.500, 0.000, 0.754], [0.500, 0.000, 0.368]]
}

=====

Arrangement 2

{
  "formula": "YAlGaAu2",
  "functional": "PBE",
  "state": "relaxed",
  "total_magnetization_mub_per_cell": 0.0,
  "lattice_angstrom": [[-2.387, 1.221, 3.411], [-3.551, 0.025, -2.494], [-1.767, -10.205, 2.415]],
  "species": ["Y", "Al", "Y", "Ga", "Au", "Au", "Ga", "Au", "Au", "Al"],
  "fractional_positions": [[0.000, 0.500, 0.750], [0.000, 0.500, 0.130], [0.500, 0.000, 0.250], [0.500, 0.500, 0.500], [0.000, 0.000, 0.000], [0.500, 0.500, 0.000], [0.000, 0.000, 0.500], [0.500, 0.000, 0.640], [0.000, 0.500, 0.360], [0.500, 0.000, 0.870]]
}

=====

It comes down to arrangement 1, which is 8 meV per atom more stable than the next structure.

=====

Arrangement 1

{
  "formula": "PrAlGeAu2",
  "functional": "PBE",
  "state": "relaxed",
  "total_magnetization_mub_per_cell": 0.0,
  "lattice_angstrom": [[4.514, 0.000, 0.000], [0.000, 4.514, 0.000], [0.000, 0.000, 10.392]],
  "species": ["Pr", "Au", "Ge", "Al", "Au", "Au", "Au", "Pr", "Ge", "Al"],
  "fractional_positions": [[0.500, 0.000, 0.252], [0.500, 0.000, 0.635], [0.000, 0.000, 0.500], [0.500, 0.000, 0.875], [0.000, 0.500, 0.365], [0.500, 0.500, 0.000], [0.000, 0.000, 0.000], [0.000, 0.500, 0.748], [0.500, 0.500, 0.500], [0.000, 0.500, 0.125]]
}

=====

Arrangement 2

{
  "formula": "PrAlGeAu2",
  "functional": "PBE",
  "state": "relaxed",
  "total_magnetization_mub_per_cell": 0.0,
  "lattice_angstrom": [[-0.250, 1.289, 4.188], [0.588, -4.147, 1.312], [10.707, 1.567, 0.158]],
  "species": ["Au", "Ge", "Al", "Pr", "Ge", "Au", "Au", "Pr", "Al", "Au"],
  "fractional_positions": [[0.500, 0.500, 0.000], [0.500, 0.000, 0.140], [0.500, 0.500, 0.500], [0.000, 0.500, 0.241], [0.000, 0.500, 0.860], [0.500, 0.000, 0.375], [0.000, 0.000, 0.000], [0.500, 0.000, 0.759], [0.000, 0.000, 0.500], [0.000, 0.500, 0.625]]
}

=====

It comes down to arrangement 2, which is 50 meV per atom more stable than the next structure.

=====

Arrangement 1

{
  "formula": "Hf2Al2Au",
  "functional": "PBE",
  "state": "relaxed",
  "total_magnetization_mub_per_cell": 0.1,
  "lattice_angstrom": [[-1.819, 1.819, 7.521], [1.819, -1.819, 7.521], [1.819, 1.819, -7.521]],
  "species": ["Al", "Hf", "Hf", "Al", "Au"],
  "fractional_positions": [[0.250, 0.750, 0.500], [0.401, 0.401, 0.000], [0.599, 0.599, 0.000], [0.750, 0.250, 0.500], [0.000, 0.000, 0.000]]
}

=====

Arrangement 2

{
  "formula": "Hf2Al2Au",
  "functional": "PBE",
  "state": "relaxed",
  "total_magnetization_mub_per_cell": 0.0,
  "lattice_angstrom": [[6.569, 0.000, 0.000], [0.000, 6.569, 0.000], [0.000, 0.000, 4.289]],
  "species": ["Au", "Hf", "Hf", "Al", "Al", "Al", "Au", "Al", "Hf", "Hf"],
  "fractional_positions": [[0.000, 0.000, 0.000], [0.663, 0.837, 0.500], [0.837, 0.337, 0.500], [0.137, 0.363, 0.000], [0.637, 0.137, 0.000], [0.863, 0.637, 0.000], [0.500, 0.500, 0.000], [0.363, 0.863, 0.000], [0.337, 0.163, 0.500], [0.163, 0.663, 0.500]]
}

=====

It comes down to arrangement 2, which is 514 meV per atom more stable than the next structure.

=====

Arrangement 1

{
  "formula": "HfAlPdAu",
  "functional": "PBE",
  "state": "relaxed",
  "total_magnetization_mub_per_cell": 0.0,
  "lattice_angstrom": [[0.000, 3.243, 3.243], [3.243, 0.000, 3.243], [3.243, 3.243, 0.000]],
  "species": ["Pd", "Al", "Au", "Hf"],
  "fractional_positions": [[0.500, 0.500, 0.500], [0.000, 0.000, 0.000], [0.250, 0.250, 0.250], [0.750, 0.750, 0.750]]
}

=====

Arrangement 2

{
  "formula": "HfAlPdAu",
  "functional": "PBE",
  "state": "relaxed",
  "total_magnetization_mub_per_cell": 0.0,
  "lattice_angstrom": [[-3.631, 1.711, 2.234], [-2.048, 3.817, -1.529], [-4.180, -0.236, -1.891]],
  "species": ["Pd", "Hf", "Al", "Au"],
  "fractional_positions": [[0.500, 0.500, 0.500], [0.000, 0.000, 0.000], [0.250, 0.250, 0.250], [0.750, 0.750, 0.750]]
}

=====

Arrangement 3

{
  "formula": "HfAlPdAu",
  "functional": "PBE",
  "state": "relaxed",
  "total_magnetization_mub_per_cell": 0.0,
  "lattice_angstrom": [[0.000, 3.257, 3.257], [3.257, 0.000, 3.257], [3.257, 3.257, 0.000]],
  "species": ["Hf", "Pd", "Al", "Au"],
  "fractional_positions": [[0.000, 0.000, 0.000], [0.250, 0.250, 0.250], [0.500, 0.500, 0.500], [0.750, 0.750, 0.750]]
}

=====

It comes down to arrangement 3, which is 187 meV per atom more stable than the next structure.